Entry 1:
First-principles (PBE) data for crystalline ZrGa2Re at its relaxed geometry, as listed in the Open Quantum Materials Database.

* M_tot: 0.003 μB/atom
* space-group type: No. 216
* total energy: -26.8 eV for the cell shown

Cell lengths 4.5544, 4.5544, 4.5544 Å; angles 60.00, 60.00, 60.00 degrees
Closest atoms and distances in Å follow each position.
Atoms (fractional coordinates):
Zr1 0.0000 0.0000 0.0000  4 Re 2.79, 4 Ga 2.79
Ga1 0.2500 0.2500 0.2500  4 Zr 2.79, 4 Ga 2.79
Ga2 0.5000 0.5000 0.5000  4 Re 2.79, 4 Ga 2.79
Re1 0.7500 0.7500 0.7500  4 Zr 2.79, 4 Ga 2.79

***

Entry 2:
First-principles (PBE) data for crystalline Tb3HoI at its relaxed geometry, as listed in the Open Quantum Materials Database.

* M_tot: 0.002 μB/atom
* space-group type: No. 221
* total energy: -16.7 eV for the cell shown

Cell lengths 5.8002, 5.8002, 5.8002 Å; angles 90.00, 90.00, 90.00 degrees
Closest atoms and distances in Å follow each position.
Atoms (fractional coordinates):
Tb1 0.0000 0.0000 0.5000  2 Ho 2.90
Tb2 0.0000 0.5000 0.0000  2 Ho 2.90
Tb3 0.5000 0.0000 0.0000  2 Ho 2.90
Ho1 0.0000 0.0000 0.0000  6 Tb 2.90
I1 0.5000 0.5000 0.5000  12 Tb 4.10

***

Entry 3:
First-principles (PBE) data for crystalline TmBiNO at its relaxed geometry, as listed in the Open Quantum Materials Database.

* M_tot: 0.000 μB/atom
* space-group type: No. 29
* total energy: -108.8 eV for the cell shown

Cell lengths 5.7836, 8.2575, 5.7034 Å; angles 90.00, 90.00, 90.00 degrees
Closest atoms and distances in Å follow each position.
Atoms (fractional coordinates):
Tm1 0.0092 0.1157 0.0000  1 N 2.24, 4 O 2.24-2.25
Tm2 0.4908 0.1157 0.5000  1 N 2.24, 4 O 2.24-2.25
Tm3 0.5092 0.8843 0.0000  1 N 2.24, 4 O 2.24-2.25
Tm4 0.9908 0.8843 0.5000  1 N 2.24, 4 O 2.24-2.25
Bi1 0.0125 0.6311 0.0086  2 N 2.20-2.40
Bi2 0.4875 0.6311 0.5086  2 N 2.20-2.40
Bi3 0.5125 0.3689 0.0086  2 N 2.20-2.40
Bi4 0.9875 0.3689 0.5086  2 N 2.20-2.40
N1 0.0760 0.6242 0.5676  2 Bi 2.20-2.40, 1 Tm 2.24
N2 0.4240 0.6242 0.0676  2 Bi 2.20-2.40, 1 Tm 2.24
N3 0.5760 0.3758 0.5676  2 Bi 2.20-2.40, 1 Tm 2.24
N4 0.9240 0.3758 0.0676  2 Bi 2.20-2.40, 1 Tm 2.24
O1 0.2489 0.9906 0.2506  4 Tm 2.24-2.25
O2 0.2511 0.9906 0.7506  4 Tm 2.24-2.25
O3 0.7489 0.0094 0.2506  4 Tm 2.24-2.25
O4 0.7511 0.0094 0.7506  4 Tm 2.24-2.25

***

Entry 4:
First-principles (PBE) data for crystalline HfGePO at its relaxed geometry, as listed in the Open Quantum Materials Database.

* M_tot: 0.000 μB/atom
* space-group type: No. 129
* total energy: -56.3 eV for the cell shown

Cell lengths 4.9776, 4.9776, 4.8150 Å; angles 90.00, 90.00, 90.00 degrees
Closest atoms and distances in Å follow each position.
Atoms (fractional coordinates):
Hf1 0.2500 0.7500 0.0000  2 O 2.41, 4 P 2.57
Hf2 0.7500 0.2500 0.0000  2 O 2.41, 4 P 2.57
Ge1 0.2500 0.2500 0.3887  2 P 2.30-2.52, 4 O 2.55
Ge2 0.7500 0.7500 0.6113  2 P 2.30-2.52, 4 O 2.55
P1 0.2500 0.2500 0.8658  2 Ge 2.30-2.52, 4 Hf 2.57
P2 0.7500 0.7500 0.1342  2 Ge 2.30-2.52, 4 Hf 2.57
O1 0.2500 0.7500 0.5000  2 Hf 2.41, 4 Ge 2.55
O2 0.7500 0.2500 0.5000  2 Hf 2.41, 4 Ge 2.55

***

Entry 5:
First-principles (PBE) data for crystalline KBaAg at its relaxed geometry, as listed in the Open Quantum Materials Database.

* space-group type: No. 216
* total energy: -5.9 eV for the cell shown

Cell lengths 5.7723, 5.7723, 5.7723 Å; angles 60.00, 60.00, 60.00 degrees
Closest atoms and distances in Å follow each position.
Atoms (fractional coordinates):
K1 0.0000 0.0000 0.0000  4 Ag 3.53
Ba1 0.5000 0.5000 0.5000  4 Ag 3.53
Ag1 0.7500 0.7500 0.7500  4 Ba 3.53, 4 K 3.53

***

Entry 6:
First-principles (PBE) data for crystalline YErU at its relaxed geometry, as listed in the Open Quantum Materials Database.

* M_tot: 1.248 μB/atom
* space-group type: No. 216
* total energy: -18.5 eV for the cell shown
* energy relative to the elements: 1283 meV per atom

Cell lengths 5.2597, 5.2597, 5.2597 Å; angles 60.00, 60.00, 60.00 degrees
Closest atoms and distances in Å follow each position.
Atoms (fractional coordinates):
Y1 0.0000 0.0000 0.0000  4 Er 3.22
Er1 0.7500 0.7500 0.7500  4 U 3.22, 4 Y 3.22
U1 0.5000 0.5000 0.5000  4 Er 3.22

***

Entry 7:
First-principles (PBE) data for crystalline AlGePdAu at its relaxed geometry, as listed in the Open Quantum Materials Database.

* space-group type: No. 216
* total energy: -17.3 eV for the cell shown

Cell lengths 4.5780, 4.5780, 4.5780 Å; angles 60.00, 60.00, 60.00 degrees
Closest atoms and distances in Å follow each position.
Atoms (fractional coordinates):
Al1 0.0000 0.0000 0.0000  4 Ge 2.80, 4 Au 2.80
Ge1 0.7500 0.7500 0.7500  4 Al 2.80, 4 Pd 2.80
Pd1 0.5000 0.5000 0.5000  4 Ge 2.80, 4 Au 2.80
Au1 0.2500 0.2500 0.2500  4 Al 2.80, 4 Pd 2.80

***

Entry 8:
First-principles (PBE) data for crystalline NaHfNO at its relaxed geometry, as listed in the Open Quantum Materials Database.

* M_tot: 0.000 μB/atom
* space-group type: No. 129
* total energy: -59.2 eV for the cell shown

Cell lengths 3.3324, 3.3324, 8.2319 Å; angles 90.00, 90.00, 90.00 degrees
Closest atoms and distances in Å follow each position.
Atoms (fractional coordinates):
Na1 0.2500 0.7500 0.0000  4 Na 2.36, 4 N 2.43
Na2 0.7500 0.2500 0.0000  4 Na 2.36, 4 N 2.43
Hf1 0.2500 0.2500 0.3438  4 O 2.10
Hf2 0.7500 0.7500 0.6562  4 O 2.10
N1 0.2500 0.2500 0.7853  4 Na 2.43, 4 Hf 2.58
N2 0.7500 0.7500 0.2147  4 Na 2.43, 4 Hf 2.58
O1 0.2500 0.7500 0.5000  4 Hf 2.10, 4 O 2.36
O2 0.7500 0.2500 0.5000  4 Hf 2.10, 4 O 2.36

***

Entry 9:
First-principles (PBE) data for crystalline Nb4TlInN2 at its relaxed geometry, as listed in the Open Quantum Materials Database.

* M_tot: 0.000 μB/atom
* space-group type: No. 187
* total energy: -65.9 eV for the cell shown

Cell lengths 3.2383, 3.2383, 14.1201 Å; angles 90.00, 90.00, 120.00 degrees
Closest atoms and distances in Å follow each position.
Atoms (fractional coordinates):
Nb1 0.0000 0.0000 0.1689  3 N 2.18
Nb2 0.0000 0.0000 0.8311  3 N 2.18
Nb3 0.6667 0.3333 0.3280  3 N 2.18
Nb4 0.6667 0.3333 0.6720  3 N 2.18
Tl1 0.0000 0.0000 0.5000  6 Nb 3.07, 6 Tl 3.24
In1 0.6667 0.3333 0.0000  6 Nb 3.03, 6 In 3.24
N1 0.3333 0.6667 0.2489  6 Nb 2.18
N2 0.3333 0.6667 0.7511  6 Nb 2.18

***

Entry 10:
First-principles (PBE) data for crystalline HoSiH2O4 at its relaxed geometry, as listed in the Open Quantum Materials Database.

* M_tot: 0.108 μB/atom
* space-group type: No. 43
* total energy: -105.1 eV for the cell shown

Cell lengths 6.1772, 5.6937, 7.1187 Å; angles 56.34, 50.10, 73.57 degrees
Closest atoms and distances in Å follow each position.
Atoms (fractional coordinates):
Ho1 0.0000 0.0000 0.0000  8 O 2.38-2.58
Ho2 0.2500 0.2500 0.2500  8 O 2.38-2.58
Si1 0.5232 0.5232 0.4768  4 O 1.63-1.69
Si2 0.7732 0.7732 0.7268  4 O 1.63-1.69
H1 0.1459 0.6127 0.8122  1 O 1.04
H2 0.4378 0.8208 0.1041  1 O 1.04
H3 0.6127 0.1459 0.4292  1 O 1.04
H4 0.8208 0.4378 0.6373  1 O 1.04
O1 0.2624 0.4404 0.8187  1 H 1.04
O2 0.4313 0.7715 0.9876  1 H 1.04
O3 0.4404 0.2624 0.4785  1 H 1.04
O4 0.5079 0.8480 0.2717  1 H 1.59, 1 Si 1.63
O5 0.7715 0.4313 0.8096  1 H 1.04
O6 0.8480 0.5079 0.3723  1 H 1.59, 1 Si 1.63
O7 0.8777 0.9783 0.4020  1 H 1.59, 1 Si 1.63
O8 0.9783 0.8777 0.7421  1 H 1.59, 1 Si 1.63

***

Entry 11:
First-principles (PBE) data for crystalline CoAgBiW at its relaxed geometry, as listed in the Open Quantum Materials Database.

* M_tot: 0.083 μB/atom
* space-group type: No. 216
* total energy: -23.1 eV for the cell shown

Cell lengths 4.6202, 4.6202, 4.6202 Å; angles 60.00, 60.00, 60.00 degrees
Closest atoms and distances in Å follow each position.
Atoms (fractional coordinates):
Co1 0.0000 0.0000 0.0000  4 Bi 2.83, 4 Ag 2.83
Ag1 0.2500 0.2500 0.2500  4 W 2.83, 4 Co 2.83
Bi1 0.7500 0.7500 0.7500  4 W 2.83, 4 Co 2.83
W1 0.5000 0.5000 0.5000  4 Bi 2.83, 4 Ag 2.83

***

Entry 12:
First-principles (PBE) data for crystalline DyMgAuS3 at its relaxed geometry, as listed in the Open Quantum Materials Database.

* M_tot: 0.001 μB/atom
* space-group type: No. 63
* total energy: -57.0 eV for the cell shown

Cell lengths 6.5534, 6.5534, 10.4962 Å; angles 90.00, 90.00, 146.92 degrees
Closest atoms and distances in Å follow each position.
Atoms (fractional coordinates):
Dy1 0.0000 0.0000 0.0000  6 S 2.74-3.02
Dy2 0.0000 0.0000 0.5000  6 S 2.74-3.02
Mg1 0.2317 0.7683 0.7500  6 S 2.65-2.85
Mg2 0.7683 0.2317 0.2500  6 S 2.65-2.85
Au1 0.4762 0.5238 0.2500  4 S 2.46-2.59
Au2 0.5238 0.4762 0.7500  4 S 2.46-2.59
S1 0.1188 0.8812 0.2500  2 Au 2.59, 2 Mg 2.65
S2 0.3509 0.6491 0.0698  1 Au 2.46, 2 Dy 2.74
S3 0.3509 0.6491 0.4302  1 Au 2.46, 2 Dy 2.74
S4 0.6491 0.3509 0.5698  1 Au 2.46, 2 Dy 2.74
S5 0.6491 0.3509 0.9302  1 Au 2.46, 2 Dy 2.74
S6 0.8812 0.1188 0.7500  2 Au 2.59, 2 Mg 2.65

***

Entry 13:
First-principles (PBE) data for crystalline Y2Ni12As7 at its relaxed geometry, as listed in the Open Quantum Materials Database.

* M_tot: 0.000 μB/atom
* space-group type: No. 174
* total energy: -123.9 eV for the cell shown

Cell lengths 9.3592, 9.3592, 3.8334 Å; angles 90.00, 90.00, 120.00 degrees
Closest atoms and distances in Å follow each position.
Atoms (fractional coordinates):
Y1 0.0000 0.0000 0.0000  6 As 2.98, 12 Ni 3.14-3.27
Y2 0.3333 0.6667 0.5000  6 As 2.97, 9 Ni 3.07-3.22
Ni1 0.0443 0.7590 0.5000  4 As 2.36-2.43
Ni2 0.1043 0.3900 0.0000  4 As 2.33-2.40, 1 Ni 2.56
Ni3 0.2410 0.2854 0.5000  4 As 2.36-2.43
Ni4 0.2857 0.8957 0.0000  4 As 2.33-2.40, 1 Ni 2.56
Ni5 0.3868 0.2049 0.0000  4 As 2.27-2.39
Ni6 0.5519 0.1231 0.5000  5 As 2.43-2.63, 1 Ni 2.68
Ni7 0.5713 0.4481 0.5000  5 As 2.43-2.63, 1 Ni 2.68
Ni8 0.6100 0.7143 0.0000  4 As 2.33-2.40, 1 Ni 2.56
Ni9 0.7146 0.9557 0.5000  4 As 2.36-2.43
Ni10 0.7951 0.1819 0.0000  4 As 2.27-2.39
Ni11 0.8181 0.6132 0.0000  4 As 2.27-2.39
Ni12 0.8769 0.4287 0.5000  5 As 2.43-2.63, 1 Ni 2.68
As1 0.0706 0.6204 0.0000  5 Ni 2.33-2.39
As2 0.2601 0.0359 0.5000  7 Ni 2.36-2.43
As3 0.3796 0.4502 0.0000  5 Ni 2.33-2.39
As4 0.5498 0.9294 0.0000  5 Ni 2.33-2.39
As5 0.6667 0.3333 0.0000  3 Ni 2.27
As6 0.7758 0.7399 0.5000  7 Ni 2.36-2.43
As7 0.9641 0.2242 0.5000  7 Ni 2.36-2.43

***

Entry 14:
First-principles (PBE) data for crystalline ZrTePt at its relaxed geometry, as listed in the Open Quantum Materials Database.

* M_tot: 0.001 μB/atom
* space-group type: No. 216
* total energy: -18.3 eV for the cell shown

Cell lengths 4.6136, 4.6136, 4.6136 Å; angles 60.00, 60.00, 60.00 degrees
Closest atoms and distances in Å follow each position.
Atoms (fractional coordinates):
Zr1 0.0000 0.0000 0.0000  4 Te 2.83
Te1 0.7500 0.7500 0.7500  4 Zr 2.83, 4 Pt 2.83
Pt1 0.5000 0.5000 0.5000  4 Te 2.83

***

Entry 15:
First-principles (PBE) data for crystalline NaNdCu3Te4 at its relaxed geometry, as listed in the Open Quantum Materials Database.

* M_tot: 0.006 μB/atom
* space-group type: No. 215
* total energy: -32.8 eV for the cell shown

Cell lengths 6.5524, 6.5524, 6.5524 Å; angles 90.00, 90.00, 90.00 degrees
Closest atoms and distances in Å follow each position.
Atoms (fractional coordinates):
Na1 0.0000 0.0000 0.0000  4 Te 2.81
Nd1 0.5000 0.5000 0.5000  4 Te 2.86
Cu1 0.0000 0.5000 0.5000  4 Te 2.85
Cu2 0.5000 0.0000 0.5000  4 Te 2.85
Cu3 0.5000 0.5000 0.0000  4 Te 2.85
Te1 0.2478 0.2478 0.2478  1 Na 2.81, 3 Cu 2.85, 1 Nd 2.86
Te2 0.2478 0.7522 0.7522  1 Na 2.81, 3 Cu 2.85, 1 Nd 2.86
Te3 0.7522 0.2478 0.7522  1 Na 2.81, 3 Cu 2.85, 1 Nd 2.86
Te4 0.7522 0.7522 0.2478  1 Na 2.81, 3 Cu 2.85, 1 Nd 2.86

***

Entry 16:
First-principles (PBE) data for crystalline BaGdSO at its relaxed geometry, as listed in the Open Quantum Materials Database.

* M_tot: 0.064 μB/atom
* space-group type: No. 166
* total energy: -48.2 eV for the cell shown

Cell lengths 10.4193, 10.4193, 10.4193 Å; angles 26.27, 26.27, 26.27 degrees
Closest atoms and distances in Å follow each position.
Atoms (fractional coordinates):
Ba1 0.1237 0.1237 0.1237  4 O 2.72-2.74
Ba2 0.8763 0.8763 0.8763  4 O 2.72-2.74
Gd1 0.2890 0.2890 0.2890  1 O 2.26
Gd2 0.7110 0.7110 0.7110  1 O 2.26
S1 0.3833 0.3833 0.3833  4 Gd 2.74-2.85
S2 0.6167 0.6167 0.6167  4 Gd 2.74-2.85
O1 0.2140 0.2140 0.2140  1 Gd 2.26
O2 0.7860 0.7860 0.7860  1 Gd 2.26

***

Entry 17:
First-principles (PBE) data for crystalline ThBAs at its relaxed geometry, as listed in the Open Quantum Materials Database.

* M_tot: 0.001 μB/atom
* space-group type: No. 216
* total energy: -18.7 eV for the cell shown

Cell lengths 4.3896, 4.3896, 4.3896 Å; angles 60.00, 60.00, 60.00 degrees
Closest atoms and distances in Å follow each position.
Atoms (fractional coordinates):
Th1 0.0000 0.0000 0.0000  4 B 2.69
B1 0.7500 0.7500 0.7500  4 As 2.69, 4 Th 2.69
As1 0.5000 0.5000 0.5000  4 B 2.69

***

Entry 18:
First-principles (PBE) data for crystalline LuTlCoAg at its relaxed geometry, as listed in the Open Quantum Materials Database.

* M_tot: 0.347 μB/atom
* space-group type: No. 216
* total energy: -16.3 eV for the cell shown

Cell lengths 4.7825, 4.7825, 4.7825 Å; angles 60.00, 60.00, 60.00 degrees
Closest atoms and distances in Å follow each position.
Atoms (fractional coordinates):
Lu1 0.0000 0.0000 0.0000  4 Tl 2.93, 4 Ag 2.93
Tl1 0.2500 0.2500 0.2500  4 Co 2.93, 4 Lu 2.93
Co1 0.5000 0.5000 0.5000  4 Tl 2.93, 4 Ag 2.93
Ag1 0.7500 0.7500 0.7500  4 Co 2.93, 4 Lu 2.93

***

Entry 19:
First-principles (PBE) data for crystalline KPaAs at its relaxed geometry, as listed in the Open Quantum Materials Database.

* M_tot: 0.614 μB/atom
* space-group type: No. 216
* total energy: -14.2 eV for the cell shown

Cell lengths 5.0395, 5.0395, 5.0395 Å; angles 60.00, 60.00, 60.00 degrees
Closest atoms and distances in Å follow each position.
Atoms (fractional coordinates):
K1 0.0000 0.0000 0.0000  4 As 3.09
Pa1 0.5000 0.5000 0.5000  4 As 3.09
As1 0.2500 0.2500 0.2500  4 Pa 3.09, 4 K 3.09

***

Entry 20:
First-principles (PBE) data for crystalline HgSeO4 at its relaxed geometry, as listed in the Open Quantum Materials Database.

* space-group type: No. 7
* total energy: -52.9 eV for the cell shown

Cell lengths 4.9669, 4.8709, 8.4040 Å; angles 90.00, 125.99, 90.00 degrees
Closest atoms and distances in Å follow each position.
Atoms (fractional coordinates):
Hg1 0.0000 0.1716 0.0000  4 O 2.25-2.43
Hg2 0.0000 0.8284 0.5000  4 O 2.25-2.43
Se1 0.4881 0.3325 0.5015  4 O 1.67-1.68
Se2 0.4881 0.6675 0.0015  4 O 1.67-1.68
O1 0.1407 0.1856 0.3089  1 Se 1.68
O2 0.1407 0.8144 0.8089  1 Se 1.68
O3 0.4379 0.3284 0.0033  1 Se 1.67
O4 0.4379 0.6716 0.5033  1 Se 1.67
O5 0.5233 0.1831 0.6935  1 Se 1.68
O6 0.5233 0.8169 0.1935  1 Se 1.68
O7 0.8217 0.2913 0.5019  1 Se 1.67
O8 0.8217 0.7087 0.0019  1 Se 1.67